This record from the Alexandria database describes crystalline Ba4Ga3Si20 at its relaxed geometry. The functional is PBEsol.

Calculated values
Total magnetic moment (μB/cell): 0.0
DOS(E_F) (states/eV/f.u.): 15.3
Formation energy (no corrections) (meV/atom): -239.4
Raw total energy (eV per atom): -5.19

a = 10.3751 Å, b = 10.3751 Å, c = 10.3751 Å
α = 90.00°, β = 90.00°, γ = 90.00°
With the nearest neighbours (Å) after each atom.
Fractional positions:
Si 0.0000 0.1171 0.3038  3 Si 2.39-2.43, 1 Ga 2.46
Si 0.3829 0.5000 0.1962  3 Si 2.39-2.43, 1 Ga 2.46
Si 0.8829 0.3038 0.0000  3 Si 2.39-2.43, 1 Ga 2.46
Si 0.1851 0.8149 0.1851  4 Si 2.33-2.39
Si 0.1171 0.6962 0.0000  3 Si 2.39-2.43, 1 Ga 2.46
Si 0.6851 0.6851 0.3149  4 Si 2.33-2.39
Si 0.8149 0.1851 0.1851  4 Si 2.33-2.39
Si 0.1851 0.1851 0.1851  4 Si 2.33-2.39
Si 0.8149 0.8149 0.1851  4 Si 2.33-2.39
Si 0.5000 0.1962 0.3829  3 Si 2.39-2.43, 1 Ga 2.46
Si 0.8829 0.6962 0.0000  3 Si 2.39-2.43, 1 Ga 2.46
Si 0.0000 0.8829 0.6962  3 Si 2.39-2.43, 1 Ga 2.46
Si 0.6171 0.5000 0.8038  3 Si 2.39-2.43, 1 Ga 2.46
Si 0.1851 0.8149 0.8149  4 Si 2.33-2.39
Si 0.8149 0.8149 0.8149  4 Si 2.33-2.39
Ga 0.0000 0.7500 0.5000  4 Si 2.46
Si 0.1171 0.3038 0.0000  3 Si 2.39-2.43, 1 Ga 2.46
Ba 0.5000 0.5000 0.5000  20 Si 3.33-3.38
Si 0.6851 0.3149 0.3149  4 Si 2.33-2.39
Ba 0.0000 0.5000 0.7500  16 Si 3.51-3.85, 4 Ga 3.67
Si 0.5000 0.8038 0.6171  3 Si 2.39-2.43, 1 Ga 2.46
Si 0.6851 0.6851 0.6851  4 Si 2.33-2.39
Si 0.1962 0.3829 0.5000  3 Si 2.39-2.43, 1 Ga 2.46
Si 0.8038 0.6171 0.5000  3 Si 2.39-2.43, 1 Ga 2.46
Ba 0.0000 0.5000 0.2500  16 Si 3.51-3.85, 4 Ga 3.67
Si 0.0000 0.1171 0.6962  3 Si 2.39-2.43, 1 Ga 2.46
Si 0.1851 0.1851 0.8149  4 Si 2.33-2.39
Si 0.3149 0.3149 0.6851  4 Si 2.33-2.39
Si 0.6851 0.3149 0.6851  4 Si 2.33-2.39
Ba 0.7500 0.0000 0.5000  16 Si 3.51-3.85, 4 Ga 3.67
Si 0.3149 0.6851 0.6851  4 Si 2.33-2.39
Si 0.6962 0.0000 0.8829  3 Si 2.39-2.43, 1 Ga 2.46
Ga 0.5000 0.0000 0.7500  4 Si 2.46
Ba 0.5000 0.7500 0.0000  16 Si 3.51-3.85, 4 Ga 3.67
Si 0.3149 0.3149 0.3149  4 Si 2.33-2.39
Ba 0.5000 0.2500 0.0000  16 Si 3.51-3.85, 4 Ga 3.67
Si 0.8038 0.3829 0.5000  3 Si 2.39-2.43, 1 Ga 2.46
Si 0.6962 0.0000 0.1171  3 Si 2.39-2.43, 1 Ga 2.46
Si 0.3038 0.0000 0.1171  3 Si 2.39-2.43, 1 Ga 2.46
Ga 0.7500 0.5000 0.0000  4 Si 2.46
Ba 0.0000 0.0000 0.0000  20 Si 3.33-3.38
Si 0.0000 0.8829 0.3038  3 Si 2.39-2.43, 1 Ga 2.46
Ga 0.0000 0.2500 0.5000  4 Si 2.46
Si 0.8149 0.1851 0.8149  4 Si 2.33-2.39
Ga 0.5000 0.0000 0.2500  4 Si 2.46
Ga 0.2500 0.5000 0.0000  4 Si 2.46
Ba 0.2500 0.0000 0.5000  16 Si 3.51-3.85, 4 Ga 3.67
Si 0.3829 0.5000 0.8038  3 Si 2.39-2.43, 1 Ga 2.46
Si 0.6171 0.5000 0.1962  3 Si 2.39-2.43, 1 Ga 2.46
Si 0.1962 0.6171 0.5000  3 Si 2.39-2.43, 1 Ga 2.46
Si 0.5000 0.8038 0.3829  3 Si 2.39-2.43, 1 Ga 2.46
Si 0.3149 0.6851 0.3149  4 Si 2.33-2.39
Si 0.3038 0.0000 0.8829  3 Si 2.39-2.43, 1 Ga 2.46
Si 0.5000 0.1962 0.6171  3 Si 2.39-2.43, 1 Ga 2.46